Record 1
The following is a DFT calculation (PBE) of a geometry-optimized Sm2Tl2Cd structure.

a = 4.8057 Å, b = 6.6146 Å, c = 9.1130 Å
α = 90.00°, β = 105.29°, γ = 90.00°
Element x y z (fractional)
Sm 0.9952 0.7996 0.9904
Sm 0.7980 0.3531 0.5959
Sm 0.2020 0.8531 0.4041
Sm 0.0048 0.2996 0.0096
Tl 0.4077 0.5481 0.8155
Tl 0.8153 0.8637 0.6307
Tl 0.1847 0.3637 0.3693
Tl 0.5923 0.0481 0.1845
Cd 0.3941 0.0698 0.7882
Cd 0.6059 0.5698 0.2118

**Formation energy from the elements**: -0.28 eV per atom
**Crystal system**: orthorhombic
**N(E_F)**: 0.794 states/eV/atom
**Magnetization**: 0.00 μB per formula unit

=====

Record 2
The following is a DFT calculation (PBE) of a geometry-optimized NdDyMn structure.

a = 3.5507 Å, b = 3.5507 Å, c = 6.9200 Å
α = 104.87°, β = 104.87°, γ = 90.00°
Element x y z (fractional)
Mn 0.6709 0.6709 0.3418
Nd 0.0278 0.0278 0.0557
Dy 0.3013 0.3013 0.6026

**Formation energy from the elements**: 0.20 eV per atom
**Crystal system**: tetragonal
**N(E_F)**: 1.519 states/eV/atom
**Magnetization**: 2.84 μB per formula unit

=====

Record 3
The following is a DFT calculation (PBE) of a geometry-optimized DyHo3Ru structure.

a = 5.3621 Å, b = 5.3621 Å, c = 5.3621 Å
α = 90.00°, β = 90.00°, γ = 90.00°
Element x y z (fractional)
Ru 0.0000 0.0000 0.0000
Ho 0.0000 0.5000 0.0000
Ho 0.0000 0.0000 0.5000
Ho 0.5000 0.0000 0.0000
Dy 0.5000 0.5000 0.5000

**Formation energy from the elements**: -0.06 eV per atom
**Crystal system**: cubic
**N(E_F)**: 1.569 states/eV/atom
**Magnetization**: 0.00 μB per formula unit

=====

Record 4
The following is a DFT calculation (PBE) of a geometry-optimized Tl3FePd structure.

a = 5.0448 Å, b = 5.0448 Å, c = 5.0448 Å
α = 90.00°, β = 90.00°, γ = 90.00°
Element x y z (fractional)
Tl 0.0000 0.5000 0.0000
Tl 0.0000 0.0000 0.5000
Tl 0.5000 0.0000 0.0000
Fe 0.0000 0.0000 0.0000
Pd 0.5000 0.5000 0.5000

**Formation energy from the elements**: 0.57 eV per atom
**Crystal system**: cubic
**N(E_F)**: 0.822 states/eV/atom
**Magnetization**: 1.47 μB per formula unit

=====

Record 5
The following is a DFT calculation (PBE) of a geometry-optimized KBaLiPb2 structure.

a = 5.4609 Å, b = 5.4609 Å, c = 5.6308 Å
α = 90.00°, β = 90.00°, γ = 90.00°
Element x y z (fractional)
Pb 0.0000 0.5000 0.0000
Pb 0.5000 0.0000 0.0000
K 0.0000 0.0000 0.5000
Ba 0.5000 0.5000 0.5000
Li 0.0000 0.0000 0.0000

**Formation energy from the elements**: -0.22 eV per atom
**Crystal system**: tetragonal
**N(E_F)**: 0.385 states/eV/atom
**Magnetization**: 0.00 μB per formula unit

=====

Record 6
The following is a DFT calculation (PBE) of a geometry-optimized MgScBi structure.

a = 3.9529 Å, b = 3.9529 Å, c = 5.6291 Å
α = 110.56°, β = 110.56°, γ = 90.00°
Element x y z (fractional)
Sc 0.2906 0.2906 0.5811
Mg 0.6162 0.6162 0.2324
Bi 0.9432 0.9432 0.8865

**Formation energy from the elements**: -0.17 eV per atom
**Crystal system**: tetragonal
**N(E_F)**: 1.164 states/eV/atom
**Magnetization**: 0.31 μB per formula unit